MnAlReIr | Alexandria via LeMat-Bulk | PBE | optimized geometry; DFT formation energy = -8.0 kcal/mol of atoms; crystal system = cubic; space group = No. 216
1.0
4.265 0.000 0.000
2.133 3.694 0.000
2.133 1.231 3.483
Mn Re Ir Al
1 1 1 1
direct
0.250 0.250 0.250
0.500 0.500 0.500
0.000 0.000 0.000
0.750 0.750 0.750

---

ScMn2AlIr | Alexandria via LeMat-Bulk | PBE | optimized geometry; DFT formation energy = 33.7 kcal/mol of atoms; crystal system = tetragonal; space group = No. 123
1.0
-0.177 3.287 2.692
-3.208 2.211 -2.910
-3.191 -1.882 2.088
Ir Mn Al Sc
1 2 1 1
direct
0.500 0.500 0.500
0.500 0.000 0.000
0.000 0.000 0.500
0.000 0.500 0.000
0.000 0.000 0.000

---

MnAl2IrSe | Alexandria via LeMat-Bulk | PBE | optimized geometry; crystal system = tetragonal; uncorrected formation energy = 0.086 eV per atom; space group = No. 123
1.0
-3.139 1.809 -3.004
-3.205 -3.663 1.144
-1.786 2.644 3.459
Mn Al Se Ir
1 2 1 1
direct
0.000 0.500 0.000
0.000 0.000 0.500
0.500 0.000 0.000
0.500 0.500 0.500
0.000 0.000 0.000

---

Ti2MnAl5Ir2 | Alexandria via LeMat-Bulk | PBE | optimized geometry; DFT formation energy = -12.7 kcal/mol of atoms; crystal system = tetragonal; space group = No. 127
1.0
4.041 0.000 0.000
0.000 8.853 0.000
0.000 0.000 8.853
Ir Al Mn Ti
4 10 2 4
direct
0.000 0.122 0.622
0.000 0.878 0.378
0.000 0.378 0.122
0.000 0.622 0.878
0.500 0.571 0.702
0.500 0.000 0.500
0.500 0.071 0.798
0.500 0.500 0.000
0.500 0.298 0.571
0.500 0.202 0.071
0.500 0.929 0.202
0.500 0.702 0.429
0.500 0.429 0.298
0.500 0.798 0.929
0.000 0.500 0.500
0.000 0.000 0.000
0.000 0.674 0.174
0.000 0.326 0.826
0.000 0.174 0.326
0.000 0.826 0.674

---

no.,Fermi-level density of states (states/eV/atom)
1,0.232
2,0.703
3,0.387
4,0.464